# 1
First-principles (PBE) data for a relaxed structure of Cs2Ca2UO6, as listed in the Alexandria database.

Output
**VASP energy**: -76.64 eV/f.u.

```
data_Cs2Ca2UO6
_cell_length_a 6.138
_cell_length_b 10.444
_cell_length_c 7.313
_cell_angle_alpha 90.00
_cell_angle_beta 107.89
_cell_angle_gamma 90.00
_symmetry_space_group_name_H-M 'C 1 2/m 1'
_symmetry_Int_Tables_number 12
loop_
_symmetry_equiv_pos_as_xyz
'x,y,z'
'-x,-y,-z'
'-x,y,-z'
'x,-y,z'
'x+1/2,y+1/2,z'
'-x+1/2,-y+1/2,-z'
'-x+1/2,y+1/2,-z'
'x+1/2,-y+1/2,z'
loop_
_atom_site_label
_atom_site_fract_x
_atom_site_fract_y
_atom_site_fract_z
Cs1 0.000 0.171 0.000
Ca1 0.000 0.335 0.500
U1 0.000 0.000 0.500
O1 0.202 0.151 0.658
O2 0.236 0.000 0.341
```


# 2
First-principles (PBE) data for a relaxed structure of Na2CS, as listed in the Alexandria database.

Output
**VASP energy**: -12.70 eV/f.u.
**Relative energy among the computed polymorphs**: 0.00 eV/f.u.

```
data_Na2CS
_cell_length_a 6.588
_cell_length_b 6.588
_cell_length_c 6.588
_cell_angle_alpha 90.00
_cell_angle_beta 90.00
_cell_angle_gamma 90.00
_symmetry_space_group_name_H-M 'F m -3 m'
_symmetry_Int_Tables_number 225
_symmetry_space_group_name_Hall '-F 4 2 3'
loop_
_atom_site_label
_atom_site_fract_x
_atom_site_fract_y
_atom_site_fract_z
Na1 0.250 0.250 0.250
C1 0.000 0.000 0.000
S1 0.000 0.000 0.500
```


# 3
First-principles (PBE) data for a relaxed structure of YCI2O, as listed in the Alexandria database.

Output
**VASP energy**: -22.38 eV/f.u.
**Relative energy among the computed polymorphs**: 0.00 eV/f.u.

```
data_YCI2O
_cell_length_a 6.177
_cell_length_b 6.177
_cell_length_c 4.144
_cell_angle_alpha 90.00
_cell_angle_beta 90.00
_cell_angle_gamma 90.00
_symmetry_space_group_name_H-M 'P 4/m m m'
_symmetry_Int_Tables_number 123
_symmetry_space_group_name_Hall '-P 4 2'
loop_
_atom_site_label
_atom_site_fract_x
_atom_site_fract_y
_atom_site_fract_z
Y1 0.000 0.000 0.000
C1 0.500 0.500 0.500
I1 0.000 0.500 0.000
O1 0.000 0.000 0.500
```


# 4
First-principles (PBE) data for a relaxed structure of PrTmHgAu, as listed in the Alexandria database.

Output
**VASP energy**: -15.42 eV/f.u.
**Relative energy among the computed polymorphs**: 0.00 eV/f.u.
**Formation energy from the elements**: -2.6 eV/f.u.

```
data_PrTmHgAu
_cell_length_a 3.667
_cell_length_b 3.667
_cell_length_c 7.579
_cell_angle_alpha 90.00
_cell_angle_beta 90.00
_cell_angle_gamma 90.00
_symmetry_space_group_name_H-M 'P 4 m m'
_symmetry_Int_Tables_number 99
loop_
_symmetry_equiv_pos_as_xyz
'x,y,z'
'-y,x,z'
'-x,-y,z'
'y,-x,z'
'-x,y,z'
'y,x,z'
'x,-y,z'
'-y,-x,z'
loop_
_atom_site_label
_atom_site_fract_x
_atom_site_fract_y
_atom_site_fract_z
Pr1 0.000 0.000 0.000
Tm1 0.000 0.000 0.477
Hg1 0.500 0.500 0.720
Au1 0.500 0.500 0.276
```


# 5
First-principles (PBE) data for a relaxed structure of YZn3Pd4, as listed in the Alexandria database.

Output
**VASP energy**: -36.05 eV/f.u.
**Formation energy from the elements**: -5.0 eV/f.u.

```
data_YZn3Pd4
_cell_length_a 4.4338
_cell_length_b 4.4338
_cell_length_c 23.1973
_cell_angle_alpha 90.00
_cell_angle_beta 90.00
_cell_angle_gamma 120.00
_symmetry_space_group_name_H-M 'R -3 m'
_symmetry_Int_Tables_number 166
_symmetry_space_group_name_Hall '-R 3 2"'
loop_
_atom_site_label
_atom_site_fract_x
_atom_site_fract_y
_atom_site_fract_z
Y1 0.0000 0.0000 0.0000
Zn1 0.0000 0.0000 0.2458
Zn2 0.0000 0.0000 0.5000
Pd1 0.0000 0.0000 0.1286
Pd2 0.0000 0.0000 0.3918
```


# 6
First-principles (PBE) data for a relaxed structure of CeTmHgAu, as listed in the Alexandria database.

Output
**VASP energy**: -16.11 eV/f.u.
**Formation energy from the elements**: -2.1 eV/f.u.

```
data_CeTmHgAu
_cell_length_a 7.386
_cell_length_b 7.386
_cell_length_c 7.386
_cell_angle_alpha 90.00
_cell_angle_beta 90.00
_cell_angle_gamma 90.00
_symmetry_space_group_name_H-M 'F -4 3 m'
_symmetry_Int_Tables_number 216
_symmetry_space_group_name_Hall 'F -4 2 3'
loop_
_atom_site_label
_atom_site_fract_x
_atom_site_fract_y
_atom_site_fract_z
Ce1 0.000 0.000 0.000
Tm1 0.000 0.000 0.500
Hg1 0.250 0.250 0.750
Au1 0.250 0.250 0.250
```


# 7
First-principles (PBE) data for a relaxed structure of Pr2Ho4Cd, as listed in the Alexandria database.

Output
**VASP energy**: -26.60 eV/f.u.
**Formation energy from the elements**: 2.2 eV/f.u.

```
data_Pr2Ho4Cd
_cell_length_a 8.146
_cell_length_b 8.146
_cell_length_c 6.776
_cell_angle_alpha 90.00
_cell_angle_beta 90.00
_cell_angle_gamma 90.00
_symmetry_space_group_name_H-M 'I -4 2 m'
_symmetry_Int_Tables_number 121
_symmetry_space_group_name_Hall 'I -4 2'
loop_
_atom_site_label
_atom_site_fract_x
_atom_site_fract_y
_atom_site_fract_z
Pr1 0.000 0.500 0.250
Ho1 0.208 0.208 0.075
Cd1 0.000 0.000 0.500
```


# 8
First-principles (PBE) data for a relaxed structure of AcNdSmY2, as listed in the Alexandria database.

Output
**VASP energy**: -24.70 eV/f.u.
**Formation energy from the elements**: 1.8 eV/f.u.

```
data_AcNdSmY2
_cell_length_a 6.625
_cell_length_b 17.514
_cell_length_c 6.506
_cell_angle_alpha 90.00
_cell_angle_beta 90.00
_cell_angle_gamma 90.00
_symmetry_space_group_name_H-M 'C m c m'
_symmetry_Int_Tables_number 63
_symmetry_space_group_name_Hall '-C 2c 2'
loop_
_atom_site_label
_atom_site_fract_x
_atom_site_fract_y
_atom_site_fract_z
Ac1 0.000 0.158 0.250
Nd1 0.000 0.347 0.250
Sm1 0.000 0.279 0.750
Y1 0.243 0.500 0.000
```


# 9
First-principles (PBE) data for a relaxed structure of Sc2ReMo, as listed in the Alexandria database.

Output
**VASP energy**: -35.76 eV/f.u.
**Relative energy among the computed polymorphs**: 0.54 eV/f.u.
**Formation energy from the elements**: 0.2 eV/f.u.

```
data_Sc2ReMo
_cell_length_a 2.985
_cell_length_b 4.415
_cell_length_c 5.638
_cell_angle_alpha 90.00
_cell_angle_beta 102.22
_cell_angle_gamma 90.00
_symmetry_space_group_name_H-M 'P 1 m 1'
_symmetry_Int_Tables_number 6
loop_
_symmetry_equiv_pos_as_xyz
'x,y,z'
'x,-y,z'
loop_
_atom_site_label
_atom_site_fract_x
_atom_site_fract_y
_atom_site_fract_z
Sc1 0.000 0.000 0.000
Sc2 0.265 0.500 0.714
Re1 0.536 0.000 0.461
Mo1 0.722 0.500 0.261
```


# 10
First-principles (PBE) data for a relaxed structure of Be2CrFe, as listed in the Alexandria database.

Output
**VASP energy**: -25.79 eV/f.u.
**Relative energy among the computed polymorphs**: 0.33 eV/f.u.
**Formation energy from the elements**: -0.3 eV/f.u.

```
data_Be2CrFe
_cell_length_a 2.684
_cell_length_b 2.684
_cell_length_c 5.291
_cell_angle_alpha 90.00
_cell_angle_beta 90.00
_cell_angle_gamma 90.00
_symmetry_space_group_name_H-M 'P 4 m m'
_symmetry_Int_Tables_number 99
loop_
_symmetry_equiv_pos_as_xyz
'x,y,z'
'-y,x,z'
'-x,-y,z'
'y,-x,z'
'-x,y,z'
'y,x,z'
'x,-y,z'
'-y,-x,z'
loop_
_atom_site_label
_atom_site_fract_x
_atom_site_fract_y
_atom_site_fract_z
Be1 0.000 0.000 0.000
Be2 0.500 0.500 0.216
Cr1 0.000 0.000 0.502
Fe1 0.500 0.500 0.745
```


# 11
First-principles (PBE) data for a relaxed structure of K2AlBO4, as listed in the Alexandria database.

Output
**VASP energy**: -50.42 eV/f.u.

```
data_K2AlBO4
_cell_length_a 4.446
_cell_length_b 11.137
_cell_length_c 20.296
_cell_angle_alpha 90.00
_cell_angle_beta 90.00
_cell_angle_gamma 90.00
_symmetry_space_group_name_H-M 'F d d d'
_symmetry_Int_Tables_number 70
loop_
_symmetry_equiv_pos_as_xyz
'x,y,z'
'-x,-y,-z'
'-x+1/4,-y+1/4,z'
'x+1/4,y+1/4,-z'
'x,-y+1/4,-z+1/4'
'-x,y+1/4,z+1/4'
'-x+1/4,y,-z+1/4'
'x+1/4,-y,z+1/4'
'x,y+1/2,z+1/2'
'-x,-y+1/2,-z+1/2'
'-x+1/4,-y+3/4,z+1/2'
'x+1/4,y+3/4,-z+1/2'
'x,-y+3/4,-z+3/4'
'-x,y+3/4,z+3/4'
'-x+1/4,y+1/2,-z+3/4'
'x+1/4,-y+1/2,z+3/4'
'x+1/2,y,z+1/2'
'-x+1/2,-y,-z+1/2'
'-x+3/4,-y+1/4,z+1/2'
'x+3/4,y+1/4,-z+1/2'
'x+1/2,-y+1/4,-z+3/4'
'-x+1/2,y+1/4,z+3/4'
'-x+3/4,y,-z+3/4'
'x+3/4,-y,z+3/4'
'x+1/2,y+1/2,z'
'-x+1/2,-y+1/2,-z'
'-x+3/4,-y+3/4,z'
'x+3/4,y+3/4,-z'
'x+1/2,-y+3/4,-z+1/4'
'-x+1/2,y+3/4,z+1/4'
'-x+3/4,y+1/2,-z+1/4'
'x+3/4,-y+1/2,z+1/4'
loop_
_atom_site_label
_atom_site_fract_x
_atom_site_fract_y
_atom_site_fract_z
K1 0.125 0.125 0.299
Al1 0.125 0.125 0.125
B1 0.125 0.125 0.625
O1 0.085 0.298 0.834
```


# 12
First-principles (PBE) data for a relaxed structure of Al2ZnRh3, as listed in the Alexandria database.

Output
**VASP energy**: -36.31 eV/f.u.
**Formation energy from the elements**: -5.5 eV/f.u.

```
data_Al2ZnRh3
_cell_length_a 3.001
_cell_length_b 3.001
_cell_length_c 9.054
_cell_angle_alpha 90.00
_cell_angle_beta 90.00
_cell_angle_gamma 90.00
_symmetry_space_group_name_H-M 'P 4/m m m'
_symmetry_Int_Tables_number 123
_symmetry_space_group_name_Hall '-P 4 2'
loop_
_atom_site_label
_atom_site_fract_x
_atom_site_fract_y
_atom_site_fract_z
Al1 0.000 0.000 0.170
Zn1 0.000 0.000 0.500
Rh1 0.500 0.500 0.000
Rh2 0.500 0.500 0.327
```